[1]
Material: HfAl2F
Method: DFT, PBE
State: optimized geometry

Cell and atoms, written as extended XYZ:
```
16
Lattice="6.251 0.000 0.000 0.000 6.251 0.000 0.000 0.000 7.282" Properties=species:S:1:pos:R:3 pbc="T T T"
Hf 0.000 0.000 0.000
Hf 0.000 3.126 1.821
Hf 3.126 0.000 5.462
Hf 3.126 3.126 3.641
Al 0.966 1.563 4.551
Al 1.563 4.092 6.372
Al 1.563 5.285 2.731
Al 2.159 1.563 0.910
Al 4.092 4.689 0.910
Al 4.689 0.966 2.731
Al 4.689 2.159 6.372
Al 5.285 4.689 4.551
F 0.000 0.000 3.641
F 0.000 3.126 5.462
F 3.126 0.000 1.821
F 3.126 3.126 0.000
```

## Properties
- uncorrected formation energy (eV per atom) = -0.50
- space-group type = I-42d, No. 122
- DOS at the Fermi energy (states/eV per cell) = 9.31
- energy above the most stable polymorph in this dataset (kJ/mol of formula units) = 0


[2]
Material: CuCIO2
Method: DFT, PBE
State: optimized geometry

Cell and atoms, written as extended XYZ:
```
5
Lattice="3.587 0.000 0.000 0.000 3.587 0.000 0.000 0.000 7.433" Properties=species:S:1:pos:R:3 pbc="T T T"
Cu 0.000 0.000 0.000
C 1.793 1.793 3.716
I 0.000 0.000 3.716
O 0.000 1.793 0.000
O 1.793 0.000 0.000
```

## Properties
- uncorrected formation energy (eV per atom) = 1.19
- space-group type = P4/mmm, No. 123
- DOS at the Fermi energy (states/eV per cell) = 5.72
- energy above the most stable polymorph in this dataset (kJ/mol of formula units) = 13


[3]
Material: ScH2NO
Method: DFT, PBE
State: optimized geometry

Cell and atoms, written as extended XYZ:
```
5
Lattice="2.853 0.000 0.000 0.000 2.853 0.000 0.000 0.000 5.752" Properties=species:S:1:pos:R:3 pbc="T T T"
Sc 0.000 0.000 0.000
H 0.000 1.426 2.876
H 1.426 0.000 2.876
N 1.426 1.426 2.876
O 1.426 1.426 0.000
```

## Properties
- total DFT energy (no corrections) (eV per cell) = -29.4
- space-group type = P4/mmm, No. 123
- DOS at the Fermi energy (states/eV per cell) = 1.82


[4]
Material: DyY2Al9
Method: DFT, PBE
State: optimized geometry

Cell and atoms, written as extended XYZ:
```
12
Lattice="2.787 1.609 8.761 -2.787 1.609 8.761 0.000 -3.218 8.761" Properties=species:S:1:pos:R:3 pbc="T T T"
Dy 0.000 0.000 0.000
Y 0.000 0.000 3.730
Y 0.000 0.000 22.553
Al -1.424 -0.822 10.953
Al 0.000 0.000 8.814
Al 0.000 -1.644 15.330
Al -1.424 0.822 15.330
Al 0.000 0.000 13.141
Al 1.424 -0.822 10.953
Al 0.000 1.644 10.953
Al 0.000 0.000 17.469
Al 1.424 0.822 15.330
```

## Properties
- ΔH_f (0 K) (eV per atom) = -0.368
- space-group type = R-3m, No. 166
- DOS at the Fermi energy (states/eV per cell) = 5.29
- energy above the most stable polymorph in this dataset (kJ/mol of formula units) = 63


[5]
Material: Y2CrBr
Method: DFT, PBE
State: optimized geometry

Cell and atoms, written as extended XYZ:
```
8
Lattice="4.232 0.000 0.000 0.000 4.232 0.000 0.000 0.000 11.486" Properties=species:S:1:pos:R:3 pbc="T T T"
Y 0.000 0.000 0.000
Y 0.000 2.116 2.871
Y 2.116 0.000 8.614
Y 2.116 2.116 5.743
Cr 0.000 0.000 5.743
Cr 2.116 2.116 0.000
Br 0.000 2.116 8.614
Br 2.116 0.000 2.871
```

## Properties
- uncorrected formation energy (eV per atom) = 0.10
- space-group type = I-4m2, No. 119
- DOS at the Fermi energy (states/eV per cell) = 9.34
- energy above the most stable polymorph in this dataset (kJ/mol of formula units) = 161


[6]
Material: CsNpSi2O6
Method: DFT, PBE
State: optimized geometry

Cell and atoms, written as extended XYZ:
```
20
Lattice="5.358 -5.179 0.000 5.358 5.179 0.000 -0.961 0.000 5.470" Properties=species:S:1:pos:R:3 pbc="T T T"
Cs 4.637 3.346 4.102
Cs 5.118 -3.346 1.367
Np 5.118 1.237 1.367
Np 4.637 -1.237 4.102
Si 1.639 0.819 4.395
Si 2.120 -0.819 1.660
Si 7.635 0.819 3.810
Si 8.116 -0.819 1.075
O 3.476 2.927 1.297
O 1.865 0.058 0.238
O 1.384 -0.058 2.973
O 3.256 0.701 4.696
O 6.759 2.927 1.438
O 3.736 -0.701 1.961
O 6.019 0.701 3.508
O 2.996 -2.927 4.032
O 6.500 -0.701 0.773
O 8.371 0.058 2.497
O 7.891 -0.058 5.232
O 6.279 -2.927 4.173
```

## Properties
- uncorrected formation energy (eV per atom) = -2.57
- space-group type = C2/c, No. 15
- DOS at the Fermi energy (states/eV per cell) = 16.71


[7]
Material: LaYMg2Pd
Method: DFT, PBE
State: optimized geometry

Cell and atoms, written as extended XYZ:
```
5
Lattice="5.165 0.000 0.000 0.000 5.165 0.000 0.000 0.000 5.274" Properties=species:S:1:pos:R:3 pbc="T T T"
La 0.000 0.000 0.000
Y 2.583 2.583 0.000
Mg 0.000 2.583 2.637
Mg 2.583 0.000 2.637
Pd 2.583 2.583 2.637
```

## Properties
- ΔH_f (0 K) (eV per atom) = -0.247
- space-group type = P4/mmm, No. 123
- DOS at the Fermi energy (states/eV per cell) = 4.03


[8]
Material: BeCuBi2
Method: DFT, PBE
State: optimized geometry

Cell and atoms, written as extended XYZ:
```
16
Lattice="5.067 0.000 0.000 0.000 5.067 0.000 0.000 0.000 15.303" Properties=species:S:1:pos:R:3 pbc="T T T"
Be 0.000 0.000 0.000
Be 0.000 2.534 3.826
Be 2.534 0.000 11.477
Be 2.534 2.534 7.651
Cu 0.000 0.000 7.651
Cu 0.000 2.534 11.477
Cu 2.534 0.000 3.826
Cu 2.534 2.534 0.000
Bi 1.209 1.267 1.913
Bi 1.267 3.743 5.739
Bi 1.267 3.858 13.390
Bi 1.324 1.267 9.564
Bi 3.743 3.800 9.564
Bi 3.800 1.209 13.390
Bi 3.800 1.324 5.739
Bi 3.858 3.800 1.913
```

## Properties
- ΔH_f (0 K) (eV per atom) = 0.422
- space-group type = I-42d, No. 122
- DOS at the Fermi energy (states/eV per cell) = 5.47


[9]
Material: PrSiNi
Method: DFT, PBE
State: optimized geometry

Cell and atoms, written as extended XYZ:
```
12
Lattice="4.144 0.000 0.000 0.000 4.144 0.000 0.000 0.000 13.916" Properties=species:S:1:pos:R:3 pbc="T T T"
Pr 0.000 0.000 0.000
Pr 0.000 2.072 3.479
Pr 2.072 0.000 10.437
Pr 2.072 2.072 6.958
Si 0.000 0.000 5.833
Si 0.000 2.072 9.312
Si 2.072 0.000 2.354
Si 2.072 2.072 12.791
Ni 0.000 0.000 8.190
Ni 0.000 2.072 11.669
Ni 2.072 0.000 4.711
Ni 2.072 2.072 1.232
```

## Properties
- uncorrected formation energy (eV per atom) = -0.71
- space-group type = I4_1md, No. 109
- DOS at the Fermi energy (states/eV per cell) = 9.26


[10]
Material: HoHO2
Method: DFT, PBE
State: optimized geometry

Cell and atoms, written as extended XYZ:
```
8
Lattice="3.489 0.000 0.000 0.000 4.867 0.000 0.000 0.000 5.470" Properties=species:S:1:pos:R:3 pbc="T T T"
Ho 0.000 1.070 0.000
Ho 1.744 3.798 2.735
H 0.000 1.538 2.612
H 1.744 3.329 5.347
O 0.000 0.085 3.499
O 0.000 2.358 2.020
O 1.744 2.510 4.755
O 1.744 4.783 0.765
```

## Properties
- total DFT energy (no corrections) (eV per cell) = -56.9
- space-group type = Pmn2_1, No. 31
- DOS at the Fermi energy (states/eV per cell) = 0.00


[11]
Material: ZrPaTe2
Method: DFT, PBE
State: optimized geometry

Cell and atoms, written as extended XYZ:
```
4
Lattice="5.148 0.000 0.000 0.000 5.148 0.000 0.000 0.000 3.677" Properties=species:S:1:pos:R:3 pbc="T T T"
Zr 0.000 0.000 0.000
Pa 2.574 2.574 0.000
Te 0.000 2.574 1.839
Te 2.574 0.000 1.839
```

## Properties
- uncorrected formation energy (eV per atom) = -0.72
- space-group type = P4/mmm, No. 123
- DOS at the Fermi energy (states/eV per cell) = 3.54
- energy above the most stable polymorph in this dataset (kJ/mol of formula units) = 0


[12]
Material: LiRhF4
Method: DFT, PBE
State: optimized geometry

Cell and atoms, written as extended XYZ:
```
12
Lattice="5.510 0.000 0.000 0.000 5.510 0.000 0.000 0.000 9.446" Properties=species:S:1:pos:R:3 pbc="T T T"
Li 0.000 0.000 0.000
Li 2.755 2.755 4.723
Rh 0.000 2.755 2.362
Rh 2.755 0.000 7.085
F 0.700 1.386 1.077
F 1.370 3.456 3.646
F 1.386 4.810 8.369
F 2.055 1.370 5.800
F 3.456 4.141 5.800
F 4.125 0.700 8.369
F 4.141 2.055 3.646
F 4.810 4.125 1.077
```

## Properties
- uncorrected formation energy (eV per atom) = -1.62
- space-group type = I-4, No. 82
- DOS at the Fermi energy (states/eV per cell) = 8.81


[13]
Material: YTaCr2
Method: DFT, PBE
State: optimized geometry

Cell and atoms, written as extended XYZ:
```
4
Lattice="3.055 0.000 0.000 0.000 3.708 0.000 -1.201 0.000 6.406" Properties=species:S:1:pos:R:3 pbc="T T T"
Y 0.000 0.000 0.000
Ta 0.295 1.854 4.173
Cr 1.326 1.854 1.923
Cr 2.121 0.000 2.892
```

## Properties
- ΔH_f (0 K) (eV per atom) = 0.421
- space-group type = Pm, No. 6
- DOS at the Fermi energy (states/eV per cell) = 3.78
- energy above the most stable polymorph in this dataset (kJ/mol of formula units) = 45


[14]
Material: Ca5CeSn6
Method: DFT, PBE
State: optimized geometry

Cell and atoms, written as extended XYZ:
```
12
Lattice="8.386 -3.571 0.000 8.386 3.571 0.000 -0.567 0.000 5.679" Properties=species:S:1:pos:R:3 pbc="T T T"
Ca 0.000 0.000 0.000
Ca 2.426 0.000 3.819
Ca 5.336 0.000 1.876
Ca 10.869 0.000 3.803
Ca 13.779 0.000 1.860
Ce 8.386 0.000 0.000
Sn 5.161 1.788 4.713
Sn 8.103 1.787 2.840
Sn 11.044 1.788 0.966
Sn 5.161 -1.788 4.713
Sn 8.103 -1.787 2.840
Sn 11.044 -1.788 0.966
```

## Properties
- ΔH_f (0 K) (eV per atom) = -0.606
- space-group type = C2/m, No. 12
- DOS at the Fermi energy (states/eV per cell) = 8.92


[15]
Material: Ho5Ga2H
Method: DFT, PBE
State: optimized geometry

Cell and atoms, written as extended XYZ:
```
16
Lattice="6.771 0.000 0.000 0.000 6.771 0.000 0.000 0.000 8.480" Properties=species:S:1:pos:R:3 pbc="T T T"
Ho 0.000 0.000 0.000
Ho 1.682 1.682 2.167
Ho 1.682 5.089 2.167
Ho 1.704 1.704 6.408
Ho 1.704 5.067 6.408
Ho 3.385 3.385 4.240
Ho 5.067 1.704 6.408
Ho 5.067 5.067 6.408
Ho 5.089 1.682 2.167
Ho 5.089 5.089 2.167
Ga 0.000 3.385 0.024
Ga 0.000 3.385 4.264
Ga 3.385 0.000 0.024
Ga 3.385 0.000 4.264
H 0.000 0.000 6.287
H 3.385 3.385 2.047
```

## Properties
- total DFT energy (no corrections) (eV per cell) = -67.7
- space-group type = I4mm, No. 107
- DOS at the Fermi energy (states/eV per cell) = 16.84


[16]
Material: CsDy5Te8
Method: DFT, PBE
State: optimized geometry

Cell and atoms, written as extended XYZ:
```
14
Lattice="11.332 -2.205 0.000 11.332 2.205 0.000 -2.650 0.000 10.560" Properties=species:S:1:pos:R:3 pbc="T T T"
Cs 0.000 0.000 0.000
Dy 2.289 0.000 4.958
Dy 2.396 0.000 8.921
Dy 10.003 0.000 5.285
Dy 17.612 0.000 1.647
Dy 17.718 0.000 5.610
Te -0.032 0.000 6.989
Te 5.103 0.000 3.651
Te 7.579 0.000 0.031
Te 7.617 0.000 7.262
Te 12.388 0.000 3.309
Te 12.428 0.000 10.536
Te 14.905 0.000 6.917
Te 20.039 0.000 3.581
```

## Properties
- uncorrected formation energy (eV per atom) = -1.41
- space-group type = Cm, No. 8


[17]
Material: Ca4Zn2N
Method: DFT, PBE
State: optimized geometry

Cell and atoms, written as extended XYZ:
```
14
Lattice="4.749 0.000 0.000 0.000 4.749 0.000 0.000 0.000 16.715" Properties=species:S:1:pos:R:3 pbc="T T T"
Ca 0.000 0.000 3.182
Ca 0.000 0.000 13.533
Ca 0.000 2.375 0.000
Ca 0.000 2.375 8.358
Ca 2.375 0.000 0.000
Ca 2.375 0.000 8.358
Ca 2.375 2.375 5.176
Ca 2.375 2.375 11.540
Zn 0.000 0.000 6.246
Zn 0.000 0.000 10.470
Zn 2.375 2.375 2.112
Zn 2.375 2.375 14.604
N 0.000 0.000 8.358
N 2.375 2.375 0.000
```

## Properties
- uncorrected formation energy (eV per atom) = -0.28
- space-group type = I4/mmm, No. 139
- DOS at the Fermi energy (states/eV per cell) = 12.02


[18]
Material: LiBi2Pb8
Method: DFT, PBE
State: optimized geometry

Cell and atoms, written as extended XYZ:
```
11
Lattice="8.569 -3.494 0.000 8.569 3.494 0.000 -2.190 0.000 5.725" Properties=species:S:1:pos:R:3 pbc="T T T"
Li 0.000 0.000 0.000
Bi 0.725 0.000 4.917
Bi 14.224 0.000 0.808
Pb 5.990 1.637 3.607
Pb 3.217 0.000 2.602
Pb 8.959 1.637 2.118
Pb 6.081 0.000 0.420
Pb 8.868 0.000 5.305
Pb 5.990 -1.637 3.607
Pb 11.732 0.000 3.123
Pb 8.959 -1.637 2.118
```

## Properties
- ΔH_f (0 K) (eV per atom) = 0.021
- space-group type = C2/m, No. 12
- DOS at the Fermi energy (states/eV per cell) = 4.54


[19]
Material: CeMg2Cu3
Method: DFT, PBE
State: optimized geometry

Cell and atoms, written as extended XYZ:
```
12
Lattice="4.616 0.000 0.000 -2.308 3.997 0.000 0.000 0.000 11.855" Properties=species:S:1:pos:R:3 pbc="T T T"
Ce 0.000 2.665 2.057
Ce 2.308 1.332 9.797
Mg 0.000 0.000 0.000
Mg 0.000 0.000 5.927
Mg 0.000 2.665 7.748
Mg 2.308 1.332 4.107
Cu 0.000 0.000 3.304
Cu 0.000 0.000 8.550
Cu 0.000 2.665 4.995
Cu 0.000 2.665 11.080
Cu 2.308 1.332 0.775
Cu 2.308 1.332 6.859
```

## Properties
- ΔH_f (0 K) (eV per atom) = -0.076
- space-group type = P-3m1, No. 164
- DOS at the Fermi energy (states/eV per cell) = 12.76


[20]
Material: ZnIn2Ga2
Method: DFT, PBE
State: optimized geometry

Cell and atoms, written as extended XYZ:
```
15
Lattice="3.306 0.000 0.000 -1.653 2.863 0.000 0.000 0.000 34.844" Properties=species:S:1:pos:R:3 pbc="T T T"
Zn 0.000 0.000 0.000
Zn 0.000 1.909 23.229
Zn 1.653 0.954 11.615
In 0.000 0.000 4.405
In 0.000 0.000 30.439
In 0.000 1.909 18.825
In 0.000 1.909 27.634
In 1.653 0.954 7.210
In 1.653 0.954 16.019
Ga 0.000 0.000 13.574
Ga 0.000 0.000 21.270
Ga 0.000 1.909 1.960
Ga 0.000 1.909 9.655
Ga 1.653 0.954 25.189
Ga 1.653 0.954 32.884
```

## Properties
- ΔH_f (0 K) (eV per atom) = 0.075
- space-group type = R-3m, No. 166
- DOS at the Fermi energy (states/eV per cell) = 5.64
- energy above the most stable polymorph in this dataset (kJ/mol of formula units) = 4